1.
NaEr2ReO8 | PBE | relaxed

Values from the calculation:
- theoretical density (g/cm3) = 7.7
- energy relative to the elements, uncorrected (eV/atom) = -2.20
- space group = P-1 (2)
- DOS(E_F) (states/eV/cell) = 0.0

Structure (CIF):
```
data_NaEr2ReO8
_chemical_formula_sum 'Na1 Er2 Re1 O8'
_space_group_name_H-M_alt 'P 1'
_space_group_IT_number 1
_space_group_name_Hall 'P 1'
_cell_length_a 5.264
_cell_length_b 4.160
_cell_length_c 6.814
_cell_angle_alpha 76.59
_cell_angle_beta 90.65
_cell_angle_gamma 87.86
loop_
_atom_site_label
_atom_site_fract_x
_atom_site_fract_y
_atom_site_fract_z
O1 0.054 0.674 0.243
O2 0.689 0.812 0.922
O3 0.946 0.326 0.757
O4 0.470 0.176 0.502
O5 0.215 0.773 0.860
O6 0.785 0.227 0.140
O7 0.530 0.824 0.498
O8 0.311 0.188 0.078
Er1 0.481 0.607 0.216
Er2 0.519 0.393 0.784
Re1 0.000 0.000 0.000
Na1 0.000 0.000 0.500
```


2.
Pm2PrSmSb4 | PBE | relaxed

Values from the calculation:
- theoretical density (g/cm3) = 6.9
- energy relative to the elements, uncorrected (eV/atom) = -1.18
- space group = Imma (74)
- DOS(E_F) (states/eV/cell) = 2.0

Structure (CIF):
```
data_Pm2PrSmSb4
_chemical_formula_sum 'Pm4 Pr2 Sm2 Sb8'
_space_group_name_H-M_alt 'P 1'
_space_group_IT_number 1
_space_group_name_Hall 'P 1'
_cell_length_a 9.008
_cell_length_b 9.008
_cell_length_c 9.008
_cell_angle_alpha 120.00
_cell_angle_beta 120.00
_cell_angle_gamma 90.00
loop_
_atom_site_label
_atom_site_fract_x
_atom_site_fract_y
_atom_site_fract_z
Pm1 0.000 0.000 0.500
Pm2 0.500 0.000 0.000
Pm3 0.500 0.000 0.500
Pm4 0.500 0.500 0.000
Sb1 0.250 0.251 0.503
Sb2 0.750 0.252 0.001
Sb3 0.249 0.250 0.997
Sb4 0.752 0.250 0.501
Sb5 0.248 0.750 0.499
Sb6 0.751 0.750 0.003
Sb7 0.250 0.748 0.999
Sb8 0.750 0.749 0.497
Pr1 0.500 0.500 0.500
Pr2 0.000 0.000 0.000
Sm1 0.000 0.500 0.500
Sm2 0.000 0.500 0.000
```


3.
CaBCF2 | PBE | relaxed

Values from the calculation:
- theoretical density (g/cm3) = 1.3
- energy relative to the elements, uncorrected (eV/atom) = 0.30
- space group = P4/mmm (123)
- DOS(E_F) (states/eV/cell) = 2.4

Structure (CIF):
```
data_CaBCF2
_chemical_formula_sum 'Ca1 B1 C1 F2'
_space_group_name_H-M_alt 'P 1'
_space_group_IT_number 1
_space_group_name_Hall 'P 1'
_cell_length_a 4.157
_cell_length_b 7.523
_cell_length_c 4.157
_cell_angle_alpha 90.00
_cell_angle_beta 90.00
_cell_angle_gamma 90.00
loop_
_atom_site_label
_atom_site_fract_x
_atom_site_fract_y
_atom_site_fract_z
F1 0.500 0.000 0.000
F2 0.000 0.000 0.500
B1 0.000 0.500 0.000
Ca1 0.000 0.000 0.000
C1 0.500 0.500 0.500
```


4.
Tb3TmIr8 | PBE | relaxed

Values from the calculation:
- theoretical density (g/cm3) = 16.7
- space group = R3m (160)
- energy of formation (kJ/mol of formula units) = -938
- DOS(E_F) (states/eV/cell) = 9.4

Structure (CIF):
```
data_Tb3TmIr8
_chemical_formula_sum 'Tb3 Tm1 Ir8'
_space_group_name_H-M_alt 'P 1'
_space_group_IT_number 1
_space_group_name_Hall 'P 1'
_cell_length_a 5.362
_cell_length_b 5.362
_cell_length_c 9.278
_cell_angle_alpha 73.21
_cell_angle_beta 73.21
_cell_angle_gamma 60.00
loop_
_atom_site_label
_atom_site_fract_x
_atom_site_fract_y
_atom_site_fract_z
Ir1 0.688 0.688 0.937
Ir2 0.437 0.437 0.189
Ir3 0.188 0.188 0.437
Ir4 0.438 0.938 0.686
Ir5 0.938 0.438 0.686
Ir6 0.937 0.437 0.189
Ir7 0.938 0.938 0.686
Ir8 0.437 0.937 0.189
Tb1 0.375 0.375 0.875
Tb2 0.500 0.500 0.499
Tb3 0.000 0.000 0.001
Tm1 0.875 0.875 0.375
```


5.
La2PrPtO5 | PBE | relaxed

Values from the calculation:
- theoretical density (g/cm3) = 8.4
- energy relative to the elements, uncorrected (eV/atom) = -2.46
- space group = P4/mbm (127)
- DOS(E_F) (states/eV/cell) = 6.8

Structure (CIF):
```
data_La2PrPtO5
_chemical_formula_sum 'La4 Pr2 Pt2 O10'
_space_group_name_H-M_alt 'P 1'
_space_group_IT_number 1
_space_group_name_Hall 'P 1'
_cell_length_a 5.825
_cell_length_b 6.874
_cell_length_c 6.874
_cell_angle_alpha 90.00
_cell_angle_beta 90.00
_cell_angle_gamma 90.00
loop_
_atom_site_label
_atom_site_fract_x
_atom_site_fract_y
_atom_site_fract_z
La1 0.500 0.670 0.170
La2 0.500 0.830 0.670
La3 0.500 0.330 0.830
La4 0.500 0.170 0.330
Pr1 0.000 0.000 0.000
Pr2 0.000 0.500 0.500
O1 0.244 0.851 0.351
O2 0.756 0.351 0.149
O3 0.244 0.149 0.649
O4 0.244 0.649 0.851
O5 0.756 0.649 0.851
O6 0.756 0.851 0.351
O7 0.500 0.000 0.000
O8 0.244 0.351 0.149
O9 0.500 0.500 0.500
O10 0.756 0.149 0.649
Pt1 0.000 0.500 0.000
Pt2 0.000 0.000 0.500
```


6.
SiTc2Te | PBE | relaxed

Values from the calculation:
- theoretical density (g/cm3) = 8.7
- energy relative to the elements, uncorrected (eV/atom) = 0.00
- space group = Cm (8)
- distance to the lowest polymorph of the same formula (eV per atom) = 0.0000
- DOS(E_F) (states/eV/cell) = 1.7

Structure (CIF):
```
data_SiTc2Te
_chemical_formula_sum 'Si1 Tc2 Te1'
_space_group_name_H-M_alt 'P 1'
_space_group_IT_number 1
_space_group_name_Hall 'P 1'
_cell_length_a 4.599
_cell_length_b 4.599
_cell_length_c 5.123
_cell_angle_alpha 73.91
_cell_angle_beta 73.91
_cell_angle_gamma 40.67
loop_
_atom_site_label
_atom_site_fract_x
_atom_site_fract_y
_atom_site_fract_z
Tc1 0.020 0.020 0.873
Tc2 0.251 0.251 0.257
Te1 0.495 0.495 0.467
Si1 0.734 0.734 0.903
```


7.
MgSiOs2 | PBE | relaxed

Values from the calculation:
- theoretical density (g/cm3) = 10.9
- energy relative to the elements, uncorrected (eV/atom) = 0.41
- space group = I-42d (122)
- DOS(E_F) (states/eV/cell) = 4.5

Structure (CIF):
```
data_MgSiOs2
_chemical_formula_sum 'Mg2 Si2 Os4'
_space_group_name_H-M_alt 'P 1'
_space_group_IT_number 1
_space_group_name_Hall 'P 1'
_cell_length_a 7.216
_cell_length_b 7.216
_cell_length_c 5.694
_cell_angle_alpha 50.67
_cell_angle_beta 50.67
_cell_angle_gamma 90.00
loop_
_atom_site_label
_atom_site_fract_x
_atom_site_fract_y
_atom_site_fract_z
Os1 0.056 0.625 0.250
Os2 0.694 0.125 0.250
Os3 0.875 0.944 0.750
Os4 0.375 0.306 0.750
Mg1 0.250 0.750 0.500
Mg2 0.500 0.500 0.000
Si1 0.000 0.000 0.000
Si2 0.750 0.250 0.500
```


8.
Ac3TlGe2Pd9 | PBE | relaxed

Values from the calculation:
- theoretical density (g/cm3) = 9.2
- space group = P-3m1 (164)
- energy of formation (kJ/mol of formula units) = -841
- DOS(E_F) (states/eV/cell) = 7.8

Structure (CIF):
```
data_Ac3TlGe2Pd9
_chemical_formula_sum 'Ac3 Tl1 Ge2 Pd9'
_space_group_name_H-M_alt 'P 1'
_space_group_IT_number 1
_space_group_name_Hall 'P 1'
_cell_length_a 6.017
_cell_length_b 6.017
_cell_length_c 11.395
_cell_angle_alpha 90.00
_cell_angle_beta 90.00
_cell_angle_gamma 120.00
loop_
_atom_site_label
_atom_site_fract_x
_atom_site_fract_y
_atom_site_fract_z
Pd1 0.312 0.156 0.699
Pd2 0.688 0.844 0.301
Pd3 0.500 0.500 0.000
Pd4 0.500 0.000 0.000
Pd5 0.156 0.312 0.301
Pd6 0.844 0.156 0.699
Pd7 0.000 0.500 0.000
Pd8 0.156 0.844 0.301
Pd9 0.844 0.688 0.699
Ac1 0.333 0.667 0.732
Ac2 0.667 0.333 0.268
Ac3 0.000 0.000 0.000
Ge1 0.667 0.333 0.841
Ge2 0.333 0.667 0.159
Tl1 0.000 0.000 0.500
```